Entry 1:
Nd6Ge2S3Br (PBE, optimized geometry); DFT total energy = -70.4 eV/cell; ΔE_f (raw) = -1.54 eV per atom; density of states at the Fermi level = 3.9 states/eV/f.u.; total moment = 0.00 μB per formula unit
1.0
4.178 0.000 0.000
0.000 8.444 0.379
-2.089 -2.354 8.806
Nd Ge S Br
6 2 3 1
Direct
0.324 0.907 0.648
0.667 0.585 0.333
0.676 0.093 0.352
0.002 0.279 0.004
0.998 0.721 0.996
0.333 0.415 0.667
0.835 0.669 0.669
0.165 0.331 0.331
0.500 0.500 0.000
0.837 0.163 0.674
0.163 0.837 0.326
0.500 0.000 0.000

---

Entry 2:
Nd4Ge2SBr (PBE, optimized geometry); DFT total energy = -44.5 eV/cell; ΔE_f (raw) = -1.30 eV per atom; density of states at the Fermi level = 1.8 states/eV/f.u.; total moment = 0.00 μB per formula unit
1.0
-0.622 2.844 -3.131
-3.792 -5.015 -3.802
-7.184 0.425 1.813
Nd Ge S Br
4 2 1 1
Direct
0.000 0.768 0.734
0.000 0.232 0.266
0.500 0.760 0.257
0.500 0.240 0.743
0.000 0.000 0.000
0.500 0.000 0.500
0.000 0.500 0.500
0.500 0.500 0.000

---

Entry 3:
Nd8Ge3SBr4 (PBE, optimized geometry); DFT total energy = -83.3 eV/cell; ΔE_f (raw) = -1.28 eV per atom; density of states at the Fermi level = 7.3 states/eV/f.u.; total moment = 0.00 μB per formula unit
1.0
-1.613 3.603 -7.504
-8.575 0.434 2.052
5.631 3.521 5.271
Nd Ge S Br
8 3 1 4
Direct
0.231 0.708 0.976
0.231 0.708 0.463
0.262 0.286 0.524
0.745 0.708 0.976
0.255 0.292 0.024
0.738 0.714 0.476
0.769 0.292 0.537
0.769 0.292 0.024
0.500 0.500 0.000
0.500 0.500 0.500
0.000 0.500 0.500
0.000 0.500 0.000
0.500 0.000 0.000
0.500 0.000 0.500
0.000 0.000 0.000
0.000 0.000 0.500